Entry from Alexandria via LeMat-Bulk: a geometry-optimized PrDyAlCu structure (PBE).

Geometry as POSCAR:
```
PrDyAlCu
1.0
7.2841 0.0000 0.0000
0.0000 7.2841 0.0000
0.0000 0.0000 7.2841
Pr Dy Al Cu
4 4 4 4
direct
0.0000 0.0000 0.0000 Pr
0.0000 0.5000 0.5000 Pr
0.5000 0.0000 0.5000 Pr
0.5000 0.5000 0.0000 Pr
0.0000 0.0000 0.5000 Dy
0.0000 0.5000 0.0000 Dy
0.5000 0.0000 0.0000 Dy
0.5000 0.5000 0.5000 Dy
0.2500 0.2500 0.2500 Al
0.2500 0.7500 0.7500 Al
0.7500 0.2500 0.7500 Al
0.7500 0.7500 0.2500 Al
0.2500 0.2500 0.7500 Cu
0.2500 0.7500 0.2500 Cu
0.7500 0.2500 0.2500 Cu
0.7500 0.7500 0.7500 Cu
```

Computed properties:
DOS(E_F): 1.141 states/eV per atom
raw total energy: -72.50 eV for the cell shown



Entry from Alexandria via LeMat-Bulk: a geometry-optimized La5Sm2Ho12 structure (PBE).

Geometry as POSCAR:
```
La5Sm2Ho12
1.0
6.1688 -3.5754 0.0000
6.1688 3.5754 0.0000
-4.8320 0.0000 14.3789
La Sm Ho
5 2 12
direct
0.0000 0.0000 0.0000 La
0.2506 0.2506 0.5009 La
0.4040 0.4040 0.9001 La
0.5960 0.5960 0.0999 La
0.7494 0.7494 0.4991 La
0.2514 0.7486 0.5000 Sm
0.7486 0.2514 0.5000 Sm
0.0890 0.5693 0.1085 Ho
0.1592 0.1592 0.6977 Ho
0.1608 0.6680 0.7098 Ho
0.3320 0.8392 0.2902 Ho
0.3407 0.3407 0.3041 Ho
0.4307 0.9110 0.8915 Ho
0.5693 0.0890 0.1085 Ho
0.6593 0.6593 0.6959 Ho
0.6680 0.1608 0.7098 Ho
0.8392 0.3320 0.2902 Ho
0.8408 0.8408 0.3023 Ho
0.9110 0.4307 0.8915 Ho
```

Computed properties:
DOS(E_F): 1.480 states/eV per atom
raw total energy: -87.00 eV for the cell shown



Entry from Alexandria via LeMat-Bulk: a geometry-optimized Dy3Er3Pt2 structure (PBE).

Geometry as POSCAR:
```
Dy3Er3Pt2
1.0
1.8835 -6.5613 0.0000
1.8835 6.5613 0.0000
0.0000 0.0000 18.2329
Dy Er Pt
6 6 4
direct
0.0572 0.9428 0.5876 Dy
0.0572 0.9428 0.9124 Dy
0.2881 0.7119 0.7500 Dy
0.7119 0.2881 0.2500 Dy
0.9428 0.0572 0.0876 Dy
0.9428 0.0572 0.4124 Dy
0.3297 0.6703 0.5564 Er
0.3297 0.6703 0.9436 Er
0.4361 0.5639 0.2500 Er
0.5639 0.4361 0.7500 Er
0.6703 0.3297 0.0564 Er
0.6703 0.3297 0.4436 Er
0.2897 0.7103 0.1347 Pt
0.2897 0.7103 0.3653 Pt
0.7103 0.2897 0.6347 Pt
0.7103 0.2897 0.8653 Pt
```

Computed properties:
DOS(E_F): 1.307 states/eV per atom
raw total energy: -88.95 eV for the cell shown



Entry from Alexandria via LeMat-Bulk: a geometry-optimized KSc2Sb structure (PBE).

Geometry as POSCAR:
```
KSc2Sb
1.0
6.8552 0.0000 0.0000
0.0000 10.9604 0.0000
-1.5647 0.0000 2.9227
K Sc Sb
2 4 2
direct
0.0000 0.0000 0.0000 K
0.5000 0.5000 0.0000 K
0.2500 0.2500 0.5000 Sc
0.2500 0.7500 0.5000 Sc
0.7500 0.2500 0.5000 Sc
0.7500 0.7500 0.5000 Sc
0.0000 0.5000 0.0000 Sb
0.5000 0.0000 0.0000 Sb
```

Computed properties:
DOS(E_F): 0.993 states/eV per atom
ΔE_f (raw): 95 meV/atom



Entry from Alexandria via LeMat-Bulk: a geometry-optimized Dy5YEr5 structure (PBE).

Geometry as POSCAR:
```
Dy5YEr5
1.0
6.7868 0.0000 0.0000
2.0679 6.6220 0.0000
1.8718 1.4896 7.9081
Dy Y Er
5 1 5
direct
0.0000 0.0000 0.0000 Dy
0.1579 0.1301 0.3584 Dy
0.3272 0.2651 0.6548 Dy
0.6728 0.7349 0.3452 Dy
0.8421 0.8699 0.6416 Dy
0.0000 0.5000 0.0000 Y
0.2063 0.6374 0.3176 Er
0.3531 0.7478 0.7198 Er
0.5000 0.0000 0.0000 Er
0.6469 0.2522 0.2802 Er
0.7937 0.3626 0.6824 Er
```

Computed properties:
relative energy among the computed polymorphs: 0.0 meV/atom
DOS(E_F): 1.496 states/eV per atom



Entry from Alexandria via LeMat-Bulk: a geometry-optimized RbSc2Zn structure (PBE).

Geometry as POSCAR:
```
RbSc2Zn
1.0
3.4200 0.0000 0.0000
-1.7100 2.9618 0.0000
0.0000 0.0000 33.5964
Rb Sc Zn
3 6 3
direct
0.0000 0.0000 0.0000 Rb
0.3333 0.6667 0.6667 Rb
0.6667 0.3333 0.3333 Rb
0.0000 0.0000 0.1056 Sc
0.0000 0.0000 0.8944 Sc
0.3333 0.6667 0.5611 Sc
0.3333 0.6667 0.7722 Sc
0.6667 0.3333 0.2278 Sc
0.6667 0.3333 0.4389 Sc
0.0000 0.0000 0.5000 Zn
0.3333 0.6667 0.1667 Zn
0.6667 0.3333 0.8333 Zn
```

Computed properties:
DOS(E_F): 0.731 states/eV per atom
raw total energy: -40.87 eV for the cell shown



Entry from Alexandria via LeMat-Bulk: a geometry-optimized ZrCd2Ge structure (PBE).

Geometry as POSCAR:
```
ZrCd2Ge
1.0
3.1192 0.0000 0.0000
-1.5596 2.7013 0.0000
0.0000 0.0000 32.3704
Zr Cd Ge
3 6 3
direct
0.0000 0.0000 0.0000 Zr
0.3333 0.6667 0.6667 Zr
0.6667 0.3333 0.3333 Zr
0.0000 0.0000 0.0918 Cd
0.0000 0.0000 0.9082 Cd
0.3333 0.6667 0.5749 Cd
0.3333 0.6667 0.7585 Cd
0.6667 0.3333 0.2415 Cd
0.6667 0.3333 0.4251 Cd
0.0000 0.0000 0.5000 Ge
0.3333 0.6667 0.1667 Ge
0.6667 0.3333 0.8333 Ge
```

Computed properties:
DOS(E_F): 0.670 states/eV per atom
raw total energy: -41.09 eV for the cell shown



Entry from Alexandria via LeMat-Bulk: a geometry-optimized TaCuAg2 structure (PBE).

Geometry as POSCAR:
```
TaCuAg2
1.0
2.7329 0.0000 0.0000
0.0000 4.2521 0.0000
-1.3093 0.0000 5.7551
Ta Cu Ag
1 1 2
direct
0.0000 0.0000 0.0000 Ta
0.4075 0.5000 0.8026 Cu
0.2570 0.0000 0.5270 Ag
0.6347 0.5000 0.2764 Ag
```

Computed properties:
relative energy among the computed polymorphs: 119.4 meV/atom
DOS(E_F): 0.576 states/eV per atom



Which of these has the lowest DOS(E_F)?
TaCuAg2



What is the DOS(E_F) in the fourth record?
0.993 states/eV per atom



What is the formula in the fourth record?
KSc2Sb